No. 1
# CsK2Se2

CsK2Se2 after structural relaxation (PBE, Alexandria via LeMat-Bulk).

Unit cell a=7.120 b=7.120 c=7.120 alpha=129.39 beta=129.39 gamma=74.38
Positions (direct):
Cs1 0.000 0.000 0.000
K1 0.336 0.336 0.000
K2 0.664 0.664 0.000
Se1 0.250 0.750 0.500
Se2 0.750 0.250 0.500

Summary:
- Calculated density: 2.92 g/cm3
- Energy relative to the lowest polymorph listed for this composition: 4.64 kcal/mol of atoms
- Space group: No. 139
- Total magnetization: 1.0 Bohr magnetons per cell
- V: 210.1 Å³/f.u.

No. 2
# CsK3Se2

CsK3Se2 after structural relaxation (PBE, Alexandria via LeMat-Bulk).

Unit cell a=5.218 b=9.977 c=8.666 alpha=90.00 beta=90.00 gamma=90.00
Positions (direct):
Cs1 0.000 0.073 0.000
Cs2 0.000 0.927 0.500
K1 0.000 0.328 0.620
K2 0.000 0.672 0.120
K3 0.500 0.181 0.329
K4 0.500 0.424 0.949
K5 0.500 0.576 0.449
K6 0.500 0.819 0.829
Se1 0.000 0.367 0.240
Se2 0.000 0.633 0.740
Se3 0.500 0.146 0.713
Se4 0.500 0.854 0.213

Summary:
- Energy: -35.2 eV/cell
- Calculated density: 3.00 g/cm3
- Space group: No. 26
- Total magnetization: 0.0 Bohr magnetons per cell
- V: 225.6 Å³/f.u.

Question: Which formula does entry 1 have?
Answer: CsK2Se2